# 1
Mg2Sc: relaxed, PBE.

Results
For the formation enthalpy at 0 K, the calculation gives -0.033 eV/atom.

```
Mg2Sc
1.0
-1.674 -1.741 -2.117
1.643 -2.623 0.858
-4.588 0.847 5.366
Sc Mg
1 2
direct
0.000 0.000 0.000
0.667 0.667 0.335
0.333 0.333 0.665
```



# 2
KOs2W: relaxed, PBE.

Results
Its offset from the most stable computed form is 101.8 kJ per mole of atoms. For the formation enthalpy at 0 K, the calculation gives 1.743 eV/atom.

```
KOs2W
1.0
-0.913 0.360 2.646
-0.770 -4.822 0.391
4.545 -0.592 1.650
Os W K
2 1 1
direct
0.000 0.000 0.000
0.500 0.500 0.000
0.500 0.000 0.500
0.000 0.500 0.500
```



# 3
Li4TbDy: relaxed, PBE.

Results
For the formation enthalpy at 0 K, the calculation gives 0.118 eV/atom.

```
Li4TbDy
1.0
-2.723 0.813 5.098
-4.840 -3.018 1.236
0.126 -4.177 4.074
Li Tb Dy
4 1 1
direct
0.625 0.125 0.625
0.125 0.625 0.625
0.625 0.625 0.125
0.625 0.625 0.625
0.250 0.250 0.250
0.000 0.000 0.000
```



# 4
MoSe2Br: relaxed, PBE.

Results
Its offset from the most stable computed form is 91.8 kJ per mole of atoms. For the uncorrected formation energy, the calculation gives 0.669 eV/atom.

```
MoSe2Br
1.0
-1.216 -3.985 2.806
2.346 -0.839 -4.361
3.577 0.232 1.880
Se Br Mo
2 1 1
direct
0.000 0.000 0.000
0.500 0.500 0.000
0.500 0.000 0.500
0.000 0.500 0.500
```



# 5
NpTl2Pd8: relaxed, PBE.

Results
For the formation enthalpy at 0 K, the calculation gives -0.248 eV/atom.

```
NpTl2Pd8
1.0
-0.411 3.510 -2.252
2.577 -3.018 -5.177
-7.128 -2.817 0.818
Pd Np Tl
8 1 2
direct
0.323 0.085 0.647
0.411 0.551 0.822
0.960 0.273 0.920
0.589 0.449 0.178
0.040 0.727 0.080
0.865 0.817 0.730
0.677 0.915 0.353
0.135 0.183 0.270
0.500 0.000 0.000
0.219 0.656 0.438
0.781 0.344 0.562
```



# 6
LiMg2Pb: relaxed, PBE.

Results
For the formation enthalpy at 0 K, the calculation gives -0.093 eV/atom.

```
LiMg2Pb
1.0
-5.449 0.466 1.002
-5.018 -1.399 -1.941
-1.317 -4.349 2.563
Pb Li Mg
1 1 2
direct
0.494 0.494 0.516
0.752 0.752 0.745
0.004 0.004 0.002
0.250 0.250 0.237
```



no.,volume (Å³/cell)
1,69.51
2,67.34
3,140.59
4,90.36
5,193.95
6,92.74